A plane-wave DFT calculation with PBE was carried out for an optimized crystal structure of BeInS2Cl.

a b c (Å): 4.5718 4.5718 4.3562
angles (deg): 90.00 90.00 90.00
Atoms (fractional coordinates):
1 Be 0.0000 0.0000 0.0000
2 In 0.5000 0.5000 0.5000
3 S 0.0000 0.5000 0.0000
4 S 0.5000 0.0000 0.0000
5 Cl 0.0000 0.0000 0.5000

Energy relative to the lowest polymorph listed for this composition ... 0.0000 eV/atom

A plane-wave DFT calculation with PBE was carried out for an optimized crystal structure of BeInSCl2.

a b c (Å): 5.0702 5.0702 5.3747
angles (deg): 90.00 90.00 90.00
Atoms (fractional coordinates):
1 Be 0.0000 0.0000 0.0000
2 In 0.5000 0.5000 0.5000
3 S 0.5000 0.5000 0.0000
4 Cl 0.0000 0.5000 0.5000
5 Cl 0.5000 0.0000 0.5000

Energy relative to the lowest polymorph listed for this composition ... 0.7692 eV/atom

A plane-wave DFT calculation with PBE was carried out for an optimized crystal structure of BeInS2Cl.

a b c (Å): 5.1674 5.1674 4.8695
angles (deg): 90.00 90.00 90.00
Atoms (fractional coordinates):
1 Be 0.0000 0.0000 0.0000
2 In 0.5000 0.5000 0.5000
3 S 0.0000 0.5000 0.5000
4 S 0.5000 0.0000 0.5000
5 Cl 0.5000 0.5000 0.0000

Energy relative to the lowest polymorph listed for this composition ... 0.7496 eV/atom

A plane-wave DFT calculation with PBE was carried out for an optimized crystal structure of BeInSCl2.

a b c (Å): 4.2746 4.2746 5.1384
angles (deg): 90.00 90.00 90.00
Atoms (fractional coordinates):
1 Be 0.0000 0.0000 0.0000
2 In 0.5000 0.5000 0.5000
3 S 0.0000 0.0000 0.5000
4 Cl 0.0000 0.5000 0.0000
5 Cl 0.5000 0.0000 0.0000

Energy relative to the lowest polymorph listed for this composition ... 0.0000 eV/atom

A plane-wave DFT calculation with PBE was carried out for an optimized crystal structure of ScBeInCl2.

a b c (Å): 4.3185 4.3185 6.1851
angles (deg): 90.00 90.00 90.00
Atoms (fractional coordinates):
1 Sc 0.0000 0.0000 0.0000
2 Be 0.5000 0.5000 0.5000
3 In 0.5000 0.5000 0.0000
4 Cl 0.0000 0.5000 0.5000
5 Cl 0.5000 0.0000 0.5000

A plane-wave DFT calculation with PBE was carried out for an optimized crystal structure of TiBeInCl2.

a b c (Å): 4.3346 4.3346 5.5473
angles (deg): 90.00 90.00 90.00
Atoms (fractional coordinates):
1 Ti 0.0000 0.0000 0.0000
2 Be 0.0000 0.0000 0.5000
3 In 0.5000 0.5000 0.0000
4 Cl 0.0000 0.5000 0.5000
5 Cl 0.5000 0.0000 0.5000

Energy relative to the lowest polymorph listed for this composition ... 0.1645 eV/atom

A plane-wave DFT calculation with PBE was carried out for an optimized crystal structure of TiBeInCl2.

a b c (Å): 4.6318 4.6318 6.1021
angles (deg): 90.00 90.00 90.00
Atoms (fractional coordinates):
1 Ti 0.0000 0.0000 0.0000
2 Be 0.5000 0.5000 0.5000
3 In 0.0000 0.0000 0.5000
4 Cl 0.0000 0.5000 0.0000
5 Cl 0.5000 0.0000 0.0000

Energy relative to the lowest polymorph listed for this composition ... 0.0000 eV/atom

A plane-wave DFT calculation with PBE was carried out for an optimized crystal structure of BeTlInCl4.

a b c (Å): 6.7259 6.8925 9.3376
angles (deg): 90.00 109.44 90.00
Atoms (fractional coordinates):
1 Be 0.1978 0.2500 0.2802
2 Be 0.8022 0.7500 0.7198
3 Tl 0.2909 0.7500 0.0759
4 Tl 0.7091 0.2500 0.9241
5 In 0.2130 0.7500 0.5345
6 In 0.7870 0.2500 0.4655
7 Cl 0.0074 0.0128 0.2190
8 Cl 0.0074 0.4872 0.2190
9 Cl 0.3450 0.2500 0.5100
10 Cl 0.4111 0.2500 0.1680
11 Cl 0.5889 0.7500 0.8320
12 Cl 0.6550 0.7500 0.4900
13 Cl 0.9926 0.5128 0.7810
14 Cl 0.9926 0.9872 0.7810

A plane-wave DFT calculation with PBE was carried out for an optimized crystal structure of Be2VInCl.

a b c (Å): 4.4905 4.4905 5.8346
angles (deg): 90.00 90.00 90.00
Atoms (fractional coordinates):
1 Be 0.0000 0.5000 0.0000
2 Be 0.5000 0.0000 0.0000
3 V 0.0000 0.0000 0.5000
4 In 0.5000 0.5000 0.0000
5 Cl 0.5000 0.5000 0.5000

A plane-wave DFT calculation with PBE was carried out for an optimized crystal structure of BeIr2Cl.

a b c (Å): 4.9239 4.9239 4.4426
angles (deg): 100.55 100.55 32.54
Atoms (fractional coordinates):
1 Be 0.0000 0.0000 0.0000
2 Ir 0.2935 0.2935 0.7834
3 Ir 0.7065 0.7065 0.2166
4 Cl 0.5000 0.5000 0.5000

Energy relative to the lowest polymorph listed for this composition ... 0.1364 eV/atom

A plane-wave DFT calculation with PBE was carried out for an optimized crystal structure of BeIrCl.

a b c (Å): 2.8795 5.2532 6.9246
angles (deg): 102.35 90.06 105.89
Atoms (fractional coordinates):
1 Be 0.0000 0.0000 0.0000
2 Be 0.0646 0.1317 0.5729
3 Ir 0.3496 0.6997 0.7940
4 Ir 0.6387 0.2777 0.8352
5 Cl 0.0975 0.1963 0.2850
6 Cl 0.8601 0.7279 0.4976

Energy relative to the lowest polymorph listed for this composition ... 0.2818 eV/atom

A plane-wave DFT calculation with PBE was carried out for an optimized crystal structure of BeIrCl.

a b c (Å): 3.8736 3.8736 6.5150
angles (deg): 90.00 90.00 90.00
Atoms (fractional coordinates):
1 Be 0.2500 0.2500 0.1780
2 Be 0.7500 0.7500 0.8220
3 Ir 0.2500 0.2500 0.5046
4 Ir 0.7500 0.7500 0.4954
5 Cl 0.2500 0.7500 0.0000
6 Cl 0.7500 0.2500 0.0000

Energy relative to the lowest polymorph listed for this composition ... 0.7121 eV/atom

A plane-wave DFT calculation with PBE was carried out for an optimized crystal structure of BeIrCl2.

a b c (Å): 5.1350 5.1350 5.1350
angles (deg): 147.40 104.33 84.84
Atoms (fractional coordinates):
1 Be 0.0000 0.0000 0.0000
2 Ir 0.5000 0.5000 0.0000
3 Cl 0.2028 0.7028 0.5000
4 Cl 0.7972 0.2972 0.5000

Energy relative to the lowest polymorph listed for this composition ... 0.6933 eV/atom

A plane-wave DFT calculation with PBE was carried out for an optimized crystal structure of BeIrCl2.

a b c (Å): 4.4124 4.4124 4.4124
angles (deg): 60.00 60.00 60.00
Atoms (fractional coordinates):
1 Be 0.0000 0.0000 0.0000
2 Ir 0.5000 0.5000 0.5000
3 Cl 0.2500 0.2500 0.2500
4 Cl 0.7500 0.7500 0.7500

Energy relative to the lowest polymorph listed for this composition ... 1.1384 eV/atom

A plane-wave DFT calculation with PBE was carried out for an optimized crystal structure of BeIrCl2.

a b c (Å): 7.4732 7.4732 7.4732
angles (deg): 23.70 23.70 23.70
Atoms (fractional coordinates):
1 Be 0.0000 0.0000 0.0000
2 Ir 0.5000 0.5000 0.5000
3 Cl 0.3931 0.3931 0.3931
4 Cl 0.6069 0.6069 0.6069

Energy relative to the lowest polymorph listed for this composition ... 0.2301 eV/atom

A plane-wave DFT calculation with PBE was carried out for an optimized crystal structure of BeIrCl.

a b c (Å): 3.3896 4.4074 8.4738
angles (deg): 98.86 101.45 90.00
Atoms (fractional coordinates):
1 Be 0.0000 0.0000 0.0000
2 Be 0.4644 0.2629 0.9282
3 Ir 0.0419 0.5160 0.0847
4 Ir 0.4371 0.7464 0.8734
5 Cl 0.3388 0.0886 0.6763
6 Cl 0.6385 0.4450 0.2795

Energy relative to the lowest polymorph listed for this composition ... 0.2056 eV/atom

A plane-wave DFT calculation with PBE was carried out for an optimized crystal structure of BeIrCl.

a b c (Å): 4.1203 4.1203 2.8526
angles (deg): 90.00 90.00 120.00
Atoms (fractional coordinates):
1 Be 0.0000 0.0000 0.0000
2 Ir 0.3333 0.6667 0.5000
3 Cl 0.6667 0.3333 0.5000

Energy relative to the lowest polymorph listed for this composition ... 1.1277 eV/atom

A plane-wave DFT calculation with PBE was carried out for an optimized crystal structure of BeIrCl.

a b c (Å): 2.9136 2.9603 11.9997
angles (deg): 89.99 89.89 90.00
Atoms (fractional coordinates):
1 Be 0.0000 0.0000 0.0000
2 Be 0.4969 0.5045 0.4557
3 Ir 0.5004 0.0085 0.1609
4 Ir 0.9993 0.5087 0.2949
5 Cl 0.0024 0.5006 0.8904
6 Cl 0.4969 0.0048 0.5653

Energy relative to the lowest polymorph listed for this composition ... 0.0723 eV/atom

A plane-wave DFT calculation with PBE was carried out for an optimized crystal structure of BeIrCl4.

a b c (Å): 5.6186 5.6186 5.6186
angles (deg): 60.00 60.00 60.00
Atoms (fractional coordinates):
1 Be 0.0000 0.0000 0.0000
2 Ir 0.2500 0.2500 0.2500
3 Cl 0.1265 0.6245 0.6245
4 Cl 0.6245 0.1265 0.6245
5 Cl 0.6245 0.6245 0.1265
6 Cl 0.6245 0.6245 0.6245

A plane-wave DFT calculation with PBE was carried out for an optimized crystal structure of BeIrCl3.

a b c (Å): 4.4626 4.4626 4.4626
angles (deg): 90.00 90.00 90.00
Atoms (fractional coordinates):
1 Be 0.0000 0.0000 0.0000
2 Ir 0.5000 0.5000 0.5000
3 Cl 0.0000 0.0000 0.5000
4 Cl 0.0000 0.5000 0.0000
5 Cl 0.5000 0.0000 0.0000

Energy relative to the lowest polymorph listed for this composition ... 0.0000 eV/atom

A plane-wave DFT calculation with PBE was carried out for an optimized crystal structure of BeIrCl.

a b c (Å): 3.9661 3.9661 3.9661
angles (deg): 60.00 60.00 60.00
Atoms (fractional coordinates):
1 Be 0.0000 0.0000 0.0000
2 Ir 0.7500 0.7500 0.7500
3 Cl 0.2500 0.2500 0.2500

Energy relative to the lowest polymorph listed for this composition ... 1.2918 eV/atom

A plane-wave DFT calculation with PBE was carried out for an optimized crystal structure of BeIrCl.

a b c (Å): 4.2571 6.6203 9.8534
angles (deg): 90.00 90.00 90.00
Atoms (fractional coordinates):
1 Be 0.2356 0.2500 0.0963
2 Be 0.2644 0.7500 0.5963
3 Be 0.7356 0.2500 0.4037
4 Be 0.7644 0.7500 0.9037
5 Ir 0.2367 0.2500 0.3299
6 Ir 0.2633 0.7500 0.8299
7 Ir 0.7367 0.2500 0.1701
8 Ir 0.7633 0.7500 0.6701
9 Cl 0.0000 0.0000 0.5000
10 Cl 0.0000 0.5000 0.5000
11 Cl 0.5000 0.0000 0.0000
12 Cl 0.5000 0.5000 0.0000

Energy relative to the lowest polymorph listed for this composition ... 0.8605 eV/atom

A plane-wave DFT calculation with PBE was carried out for an optimized crystal structure of BeIr2Cl.

a b c (Å): 2.7680 2.7680 9.0161
angles (deg): 90.00 90.00 90.00
Atoms (fractional coordinates):
1 Be 0.0000 0.0000 0.0000
2 Ir 0.0000 0.0000 0.6084
3 Ir 0.5000 0.5000 0.8063
4 Cl 0.5000 0.5000 0.1476

Energy relative to the lowest polymorph listed for this composition ... 0.1250 eV/atom

A plane-wave DFT calculation with PBE was carried out for an optimized crystal structure of BeIr2Cl.

a b c (Å): 8.0989 8.0989 8.0989
angles (deg): 151.76 151.76 40.36
Atoms (fractional coordinates):
1 Be 0.0000 0.0000 0.0000
2 Be 0.7500 0.2500 0.5000
3 Ir 0.1146 0.6250 0.9896
4 Ir 0.3750 0.3646 0.4896
5 Ir 0.6354 0.1250 0.0104
6 Ir 0.8750 0.8854 0.5104
7 Cl 0.2500 0.7500 0.5000
8 Cl 0.5000 0.5000 0.0000

Energy relative to the lowest polymorph listed for this composition ... 0.4511 eV/atom

A plane-wave DFT calculation with PBE was carried out for an optimized crystal structure of BeIr2Cl.

a b c (Å): 4.2211 4.2211 4.2211
angles (deg): 60.00 60.00 60.00
Atoms (fractional coordinates):
1 Be 0.0000 0.0000 0.0000
2 Ir 0.2500 0.2500 0.2500
3 Ir 0.7500 0.7500 0.7500
4 Cl 0.5000 0.5000 0.5000

Energy relative to the lowest polymorph listed for this composition ... 0.6313 eV/atom

A plane-wave DFT calculation with PBE was carried out for an optimized crystal structure of BeIr2Cl.

a b c (Å): 2.8353 2.8353 9.6602
angles (deg): 90.00 90.00 121.25
Atoms (fractional coordinates):
1 Be 0.0000 0.0000 0.0000
2 Ir 0.0000 0.0000 0.4343
3 Ir 0.5000 0.5000 0.2013
4 Cl 0.5000 0.5000 0.8530

Energy relative to the lowest polymorph listed for this composition ... 0.0757 eV/atom

A plane-wave DFT calculation with PBE was carried out for an optimized crystal structure of BeIr2Cl.

a b c (Å): 5.6081 5.6081 5.6081
angles (deg): 151.30 137.44 52.14
Atoms (fractional coordinates):
1 Be 0.0000 0.0000 0.0000
2 Ir 0.1975 0.6975 0.5000
3 Ir 0.8025 0.3025 0.5000
4 Cl 0.5000 0.5000 0.0000

Energy relative to the lowest polymorph listed for this composition ... 0.1670 eV/atom

A plane-wave DFT calculation with PBE was carried out for an optimized crystal structure of BeIrCl2.

a b c (Å): 3.0790 3.0790 7.6648
angles (deg): 90.00 90.00 90.00
Atoms (fractional coordinates):
1 Be 0.0000 0.0000 0.0000
2 Ir 0.5000 0.5000 0.8826
3 Cl 0.0000 0.0000 0.6434
4 Cl 0.5000 0.5000 0.1915

Energy relative to the lowest polymorph listed for this composition ... 0.2285 eV/atom

no.,spin magnetization (μB/atom),formation energy from raw total energies (eV/atom)
1,0.0000,-0.16
2,0.1197,0.24
3,0.0000,0.59
4,0.0000,-0.53
5,0.1796,-0.15
6,0.0001,0.13
7,0.2577,-0.03
8,0.0000,-1.17
9,0.8018,1.11
10,0.0000,0.29
11,0.0000,-0.16
12,0.0988,0.27
13,0.2509,0.52
14,0.2527,0.96
15,0.0000,0.05
16,0.0000,-0.24
17,0.0000,0.69
18,0.0000,-0.37
19,0.0892,1.62
20,0.4511,0.45
21,0.0000,0.85
22,0.0000,0.42
23,0.0000,0.28
24,0.0000,0.61
25,0.0000,0.79
26,0.0000,0.23
27,0.0000,0.32
28,0.0000,0.05